# CaLa3Ce2N6, relaxed, DFT PBE
data_CaLa3Ce2N6
_cell_length_a 15.802
_cell_length_b 3.671
_cell_length_c 7.322
_cell_angle_alpha 90.00
_cell_angle_beta 103.85
_cell_angle_gamma 90.00
_symmetry_space_group_name_H-M 'C 1 2/m 1'
_symmetry_Int_Tables_number 12
loop_
_symmetry_equiv_pos_as_xyz
'x,y,z'
'-x,-y,-z'
'-x,y,-z'
'x,-y,z'
'x+1/2,y+1/2,z'
'-x+1/2,-y+1/2,-z'
'-x+1/2,y+1/2,-z'
'x+1/2,-y+1/2,z'
loop_
_atom_site_label
_atom_site_type_symbol
_atom_site_fract_x
_atom_site_fract_y
_atom_site_fract_z
Ca1 Ca 0.000 0.000 0.000
La1 La 0.000 0.000 0.500
La2 La 0.165 0.500 0.836
Ce1 Ce 0.165 0.500 0.329
N1 N 0.011 0.500 0.262
N2 N 0.171 0.000 0.098
N3 N 0.173 0.000 0.570
# total DFT energy (no corrections): -94.605 eV per formula unit
# raw formation energy: -30.75 kcal/mol of atoms
# M_tot: 0.00 μB per atom
# DOS at the Fermi energy: 0.407 states/eV/atom